NaBC | the Alexandria database | PBE-GGA | relaxed; VASP energy = -5.637 eV per atom; crystal system = triclinic; E_form = 0.1034 eV/atom; total magnetization = 0.000 μB/atom
1.0
2.849 0.000 0.000
0.336 3.767 0.000
0.371 0.011 3.765
Na B C
1 1 1
Cartesian
0.000 0.000 0.000
1.778 1.889 1.882
0.354 1.889 1.882

Na2B3C | the Alexandria database | PBE-GGA | relaxed; VASP energy = -5.161 eV per atom; crystal system = monoclinic; E_form = 0.1543 eV/atom; total magnetization = 0.000 μB/atom
1.0
11.573 -1.423 0.000
11.573 1.423 0.000
-2.875 0.000 9.614
Na B C
10 15 5
Cartesian
0.000 0.000 0.000
0.312 0.000 6.701
3.406 0.000 3.846
6.671 0.000 0.905
6.936 0.000 7.704
10.132 0.000 4.801
13.310 0.000 1.897
13.591 0.000 8.642
16.765 0.000 5.772
19.969 0.000 2.872
-0.438 0.000 2.706
-0.113 0.000 9.479
3.920 0.000 1.136
3.093 0.000 6.632
6.216 0.000 3.686
7.331 0.000 4.910
9.517 0.000 0.912
10.795 0.000 8.731
12.770 0.000 4.526
13.979 0.000 5.864
17.061 0.000 2.874
16.301 0.000 8.434
20.388 0.000 0.138
19.621 0.000 5.698
20.782 0.000 6.971
0.663 0.000 3.932
4.177 0.000 7.835
10.594 0.000 2.103
9.737 0.000 7.547
16.033 0.000 1.731

Na2B3C | the Alexandria database | PBE-GGA | relaxed; VASP energy = -5.136 eV per atom; crystal system = triclinic; E_form = 0.1796 eV/atom; total magnetization = 0.000 μB/atom
1.0
5.016 0.000 0.000
-2.508 7.326 0.000
-0.002 -2.931 8.599
Na B C
10 15 5
Cartesian
0.000 0.000 0.000
-0.031 0.006 4.252
-0.027 2.941 0.009
-0.009 2.937 4.226
-0.006 5.870 0.017
-0.009 5.863 4.227
2.499 -1.463 8.594
2.478 1.466 4.251
2.485 4.391 0.009
2.511 4.400 4.225
-1.596 3.072 6.423
-0.951 1.432 6.418
-0.932 4.399 2.124
0.910 -1.599 6.423
1.665 0.004 2.118
0.764 1.540 6.415
1.556 0.040 6.417
0.829 4.399 2.128
1.678 2.847 2.121
0.839 4.398 6.423
1.706 2.894 6.420
1.678 5.951 2.122
3.271 -0.065 6.418
4.213 -1.421 6.424
4.173 1.469 2.119
-1.683 5.886 2.121
-0.775 4.400 6.428
0.851 1.426 2.114
3.360 0.047 2.116
3.333 2.912 2.125

Na2B3C | the Alexandria database | PBE-GGA | relaxed; VASP energy = -5.136 eV per atom; crystal system = triclinic; E_form = 0.1800 eV/atom; total magnetization = 0.000 μB/atom
1.0
5.057 0.000 0.000
0.004 5.830 0.000
2.523 1.462 8.603
Na B C
8 12 4
Cartesian
0.000 0.000 0.000
0.002 2.913 0.001
2.521 1.459 4.341
2.533 4.373 4.340
2.519 1.458 0.031
2.544 4.371 0.009
5.050 2.916 4.320
5.064 5.832 4.346
0.756 4.373 2.179
0.845 1.456 2.178
1.698 2.923 2.181
1.698 5.821 2.175
3.340 5.833 6.477
4.268 1.534 6.475
4.270 4.304 6.472
3.455 2.992 2.170
3.459 5.751 2.168
4.139 1.458 2.166
6.671 5.833 6.479
6.757 2.918 6.473
3.369 2.918 6.469
4.206 4.373 2.173
5.887 1.491 6.478
5.889 4.345 6.475